(1)
The following is a DFT calculation (PBE-GGA) of an optimized crystal structure of MnGaIr2Cl.

Values from the calculation:
**Total moment**: 0.42 μB/f.u.
**Uncorrected formation energy**: 1257.1 meV per atom
**Energy relative to the lowest polymorph listed for this composition**: 0.165 eV/atom
**D(E_F)**: 8.7 states/eV/cell
**VASP energy**: -5.096 eV/atom
**Crystal system**: tetragonal

a = 4.5096 Å, b = 4.0239 Å, c = 4.5096 Å
α = 90.00°, β = 90.00°, γ = 90.00°
Each line ends with the local moment (μB).
Fractional coordinates of all 5 atoms:
Ir 0.0000 0.0000 0.5000  0.21
Ir 0.5000 0.0000 0.0000  0.13
Ga 0.5000 0.5000 0.5000  0.01
Cl 0.0000 0.0000 0.0000  0.03
Mn 0.0000 0.5000 0.0000  0.08

(2)
The following is a DFT calculation (PBE-GGA) of an optimized crystal structure of NbGaIr2Cl.

Values from the calculation:
**Total moment**: 0.00 μB/f.u.
**Uncorrected formation energy**: 1164.4 meV per atom
**D(E_F)**: 6.2 states/eV/cell
**VASP energy**: -5.369 eV/atom
**Crystal system**: tetragonal

a = 4.5834 Å, b = 4.6502 Å, c = 4.5834 Å
α = 90.00°, β = 90.00°, γ = 90.00°
Fractional coordinates of all 5 atoms:
Ir 0.0000 0.0000 0.5000
Ir 0.5000 0.0000 0.0000
Nb 0.5000 0.5000 0.5000
Ga 0.0000 0.0000 0.0000
Cl 0.0000 0.5000 0.0000

(3)
The following is a DFT calculation (PBE-GGA) of an optimized crystal structure of Nd8GaIr3Cl4.

Values from the calculation:
**Total moment**: 0.00 μB/f.u.
**Uncorrected formation energy**: -1114.3 meV per atom
**D(E_F)**: 12.8 states/eV/cell
**VASP energy**: -5.810 eV/atom
**Crystal system**: trigonal

a = 8.3653 Å, b = 8.8813 Å, c = 8.3639 Å
α = 118.10°, β = 120.01°, γ = 90.00°
Fractional coordinates of all 16 atoms:
Cl 0.0000 0.0000 0.0000
Cl 0.0000 0.0000 0.5000
Cl 0.5000 0.0000 0.5000
Cl 0.5000 0.0000 0.0000
Nd 0.7229 0.7080 0.9656
Nd 0.7573 0.2919 0.5147
Nd 0.2427 0.7081 0.4853
Nd 0.7573 0.2920 0.0344
Nd 0.2637 0.2913 0.5274
Nd 0.2427 0.7080 0.9656
Nd 0.2771 0.2920 0.0344
Nd 0.7363 0.7087 0.4726
Ga 0.0000 0.5000 0.0000
Ir 0.0000 0.5000 0.5000
Ir 0.5000 0.5000 0.0000
Ir 0.5000 0.5000 0.5000

(4)
The following is a DFT calculation (PBE-GGA) of an optimized crystal structure of Nd6GaIr2Cl3.

Values from the calculation:
**Total moment**: 0.00 μB/f.u.
**Uncorrected formation energy**: -1119.0 meV per atom
**D(E_F)**: 4.2 states/eV/cell
**VASP energy**: -5.694 eV/atom
**Crystal system**: monoclinic

a = 4.1184 Å, b = 8.8416 Å, c = 9.9657 Å
α = 106.80°, β = 101.92°, γ = 90.00°
Fractional coordinates of all 12 atoms:
Cl 0.5000 0.5000 0.0000
Cl 0.1614 0.8399 0.3228
Cl 0.8386 0.1601 0.6772
Ga 0.5000 0.0000 0.0000
Nd 0.3197 0.4320 0.6394
Nd 0.6803 0.5680 0.3606
Nd 0.0170 0.2528 0.0341
Nd 0.3411 0.8855 0.6823
Nd 0.6589 0.1145 0.3177
Nd 0.9830 0.7472 0.9659
Ir 0.1677 0.3391 0.3354
Ir 0.8323 0.6609 0.6646